Entry 1:
An optimized crystal structure of LiPr2InPd6, computed with PBE.

abc: 8.596 5.721 8.597
angles: 70.59 38.88 90.03
Element x y z (fractional)
1 In 0.000 0.000 0.000
2 Pd 0.257 0.742 0.013
3 Pd 0.246 0.258 0.485
4 Pd 0.257 0.244 0.013
5 Pd 0.754 0.742 0.515
6 Li 0.500 0.500 0.000
7 Pr 0.793 0.207 0.587
8 Pd 0.743 0.258 0.987
9 Pd 0.743 0.756 0.987
10 Pr 0.207 0.793 0.413

Summary:
The calculation puts the energy relative to the elements at -0.490 eV/atom. Its density is 7.69 Mg/m³. The final energy comes out at -50.271 eV for the cell shown.


Entry 2:
An optimized crystal structure of Li2PrIn4Pd, computed with PBE.

abc: 4.665 4.665 9.692
angles: 76.07 76.07 60.00
Element x y z (fractional)
1 In 0.399 0.399 0.804
2 In 0.128 0.128 0.615
3 Li 0.765 0.765 0.705
4 Pr 0.000 0.000 0.000
5 Li 0.235 0.235 0.295
6 Pd 0.500 0.500 0.500
7 In 0.872 0.872 0.385
8 In 0.601 0.601 0.196

Summary:
The calculation puts the energy relative to the elements at -0.418 eV/atom. Its density is 6.82 Mg/m³. The final energy comes out at -28.097 eV for the cell shown.


Entry 3:
An optimized crystal structure of Li2Pr2In5Pd, computed with PBE.

abc: 3.780 10.999 10.999
angles: 90.00 90.00 90.00
Element x y z (fractional)
1 Li 0.000 0.125 0.625
2 Li 0.000 0.375 0.125
3 In 0.500 0.944 0.192
4 Li 0.000 0.625 0.875
5 Li 0.000 0.875 0.375
6 In 0.500 0.556 0.692
7 In 0.500 0.308 0.556
8 In 0.500 0.444 0.308
9 In 0.500 0.000 0.500
10 Pr 0.000 0.822 0.678
11 In 0.500 0.500 0.000
12 In 0.500 0.192 0.056
13 Pr 0.000 0.178 0.322
14 In 0.500 0.808 0.944
15 In 0.500 0.692 0.444
16 Pd 0.000 0.500 0.500
17 Pd 0.000 0.000 0.000
18 Pr 0.000 0.678 0.178
19 In 0.500 0.056 0.808
20 Pr 0.000 0.322 0.822

Summary:
The calculation puts the energy relative to the elements at -0.404 eV/atom. Its density is 7.09 Mg/m³. The final energy comes out at -72.626 eV for the cell shown.


Entry 4:
An optimized crystal structure of LiPuInPd, computed with PBE.

abc: 4.856 4.856 4.856
angles: 60.00 60.00 60.00
Site moments in Bohr magnetons follow the coordinates.
Element x y z (fractional)
1 Li 0.750 0.750 0.750  0.03
2 Pu 0.000 0.000 0.000  5.25
3 Pd 0.250 0.250 0.250  -0.07
4 In 0.500 0.500 0.500  -0.02

Summary:
The calculation puts the energy relative to the elements at -0.294 eV/atom. Its density is 9.68 Mg/m³. The final energy comes out at -25.353 eV for the cell shown.